VASP calculation (PBE-GGA) on a geometry-optimized ErTmC structure.

Cell: 3.532 3.532 6.120 Å, 90.00 90.00 120.00°
Element x y z (fractional)
Er: 0.000 0.000 0.000
Tm: 0.333 0.667 0.435
C: 0.667 0.333 0.219

Results
total magnetization = 0.00 μB per atom
formation energy = -0.9 eV per formula unit
crystal system = trigonal
energy above the most stable polymorph in this dataset = 2.7 kJ per mole of atoms

VASP calculation (PBE-GGA) on a geometry-optimized Cs4PrF7 structure.

Cell: 7.795 7.795 11.784 Å, 121.46 121.46 35.11°
Element x y z (fractional)
Cs: 0.076 0.076 0.223
Cs: 0.223 0.223 0.843
Cs: 0.777 0.777 0.157
Cs: 0.924 0.924 0.777
Pr: 0.500 0.500 0.500
F: 0.000 0.000 0.500
F: 0.139 0.139 0.019
F: 0.316 0.316 0.362
F: 0.500 0.500 0.304
F: 0.500 0.500 0.696
F: 0.684 0.684 0.638
F: 0.861 0.861 0.981

Results
total magnetization = 0.02 μB per atom
crystal system = monoclinic
calculated total energy = -4.89 eV/atom

VASP calculation (PBE-GGA) on a geometry-optimized BaCuAu structure.

Cell: 4.612 4.612 4.458 Å, 90.00 90.00 120.00°
Element x y z (fractional)
Ba: 0.000 0.000 0.000
Cu: 0.667 0.333 0.500
Au: 0.333 0.667 0.500

Results
total magnetization = 0.00 μB per atom
formation energy = -1.3 eV per formula unit
crystal system = hexagonal
energy above the most stable polymorph in this dataset = 0.0 kJ per mole of atoms

VASP calculation (PBE-GGA) on a geometry-optimized Mn2Tc structure.

Cell: 11.571 11.571 11.571 Å, 161.82 161.82 25.82°
Element x y z (fractional)
Mn: 0.125 0.375 0.750
Mn: 0.295 0.545 0.750
Mn: 0.375 0.125 0.250
Mn: 0.455 0.705 0.750
Mn: 0.545 0.295 0.250
Mn: 0.625 0.875 0.750
Mn: 0.705 0.455 0.250
Mn: 0.875 0.625 0.250
Tc: 0.044 0.794 0.250
Tc: 0.206 0.956 0.250
Tc: 0.794 0.044 0.750
Tc: 0.956 0.206 0.750

Results
total magnetization = 0.07 μB per atom
formation energy = 0.2 eV per formula unit
crystal system = tetragonal
energy above the most stable polymorph in this dataset = 15.1 kJ per mole of atoms

Please write out number 2 again, unchanged.
VASP calculation (PBE-GGA) on a geometry-optimized Cs4PrF7 structure.

Cell: 7.795 7.795 11.784 Å, 121.46 121.46 35.11°
Element x y z (fractional)
Cs: 0.076 0.076 0.223
Cs: 0.223 0.223 0.843
Cs: 0.777 0.777 0.157
Cs: 0.924 0.924 0.777
Pr: 0.500 0.500 0.500
F: 0.000 0.000 0.500
F: 0.139 0.139 0.019
F: 0.316 0.316 0.362
F: 0.500 0.500 0.304
F: 0.500 0.500 0.696
F: 0.684 0.684 0.638
F: 0.861 0.861 0.981

Results
total magnetization = 0.02 μB per atom
crystal system = monoclinic
calculated total energy = -4.89 eV/atom